1.
First-principles (PBE) data for a geometry-optimized Bi2TeI structure, as listed in the Alexandria database.

POSCAR file:
```
Bi2TeI
1.0
8.651 0.000 0.000
0.000 4.041 0.000
-3.776 0.000 9.892
Bi Te I
4 2 2
direct
0.171 0.250 0.278
0.214 0.750 0.830
0.786 0.250 0.170
0.829 0.750 0.722
0.308 0.250 0.055
0.692 0.750 0.945
0.260 0.250 0.598
0.740 0.750 0.402
```

Properties
Crystal system   monoclinic
Raw formation energy   -76.9 meV per atom
Energy relative to the lowest polymorph listed for this composition   0.69 eV/f.u.
M_tot   0.00 μB/f.u.
Volume   43.2 Å³/atom
Space group   P2_1/m

=====

2.
First-principles (PBE) data for a geometry-optimized Sm2ErIr structure, as listed in the Alexandria database.

POSCAR file:
```
Sm2ErIr
1.0
7.259 0.000 0.000
0.000 9.634 0.000
0.000 0.000 6.388
Sm Er Ir
8 4 4
direct
0.179 0.064 0.174
0.179 0.436 0.174
0.321 0.564 0.674
0.321 0.936 0.674
0.679 0.064 0.326
0.679 0.436 0.326
0.821 0.564 0.826
0.821 0.936 0.826
0.037 0.250 0.643
0.463 0.750 0.143
0.537 0.250 0.857
0.963 0.750 0.357
0.119 0.750 0.956
0.381 0.250 0.456
0.619 0.750 0.544
0.881 0.250 0.044
```

Properties
Crystal system   orthorhombic
Formation energy   -0.5237 eV per atom
Energy relative to the lowest polymorph listed for this composition   0.00 eV/f.u.
M_tot   0.00 μB/f.u.
Volume   27.9 Å³/atom
Space group   Pnma

=====

3.
First-principles (PBE) data for a geometry-optimized NaPd3O4 structure, as listed in the Alexandria database.

POSCAR file:
```
NaPd3O4
1.0
5.755 0.000 0.000
0.000 5.755 0.000
0.000 0.000 5.755
Na Pd O
2 6 8
direct
0.000 0.000 0.000
0.500 0.500 0.500
0.000 0.250 0.500
0.000 0.750 0.500
0.250 0.500 0.000
0.500 0.000 0.250
0.500 0.000 0.750
0.750 0.500 0.000
0.250 0.250 0.250
0.250 0.250 0.750
0.250 0.750 0.250
0.250 0.750 0.750
0.750 0.250 0.250
0.750 0.250 0.750
0.750 0.750 0.250
0.750 0.750 0.750
```

Properties
Crystal system   cubic
Raw formation energy   -719.7 meV per atom
M_tot   0.00 μB/f.u.
Volume   11.9 Å³/atom
Space group   Pm-3n

=====

4.
First-principles (PBE) data for a geometry-optimized Rb3SbO structure, as listed in the Alexandria database.

POSCAR file:
```
Rb3SbO
1.0
7.902 0.000 0.000
3.950 6.845 0.000
3.945 2.266 6.663
Rb Sb O
6 2 2
direct
0.069 0.086 0.259
0.414 0.431 0.741
0.415 0.914 0.740
0.585 0.086 0.260
0.586 0.569 0.259
0.931 0.914 0.741
0.068 0.569 0.295
0.932 0.431 0.705
0.339 0.839 0.484
0.661 0.161 0.516
```

Properties
Crystal system   triclinic
Raw formation energy   -618.4 meV per atom
Energy relative to the lowest polymorph listed for this composition   0.00 eV/f.u.
M_tot   1.01 μB/f.u.
Volume   36.0 Å³/atom
Space group   P-1

=====

5.
First-principles (PBE) data for a geometry-optimized MnIn2Br5 structure, as listed in the Alexandria database.

POSCAR file:
```
MnIn2Br5
1.0
2.747 -7.889 0.000
2.747 7.889 0.000
0.000 0.000 12.460
Mn In Br
2 4 10
direct
0.204 0.796 0.750
0.796 0.204 0.250
0.112 0.888 0.127
0.112 0.888 0.373
0.888 0.112 0.627
0.888 0.112 0.873
0.082 0.918 0.602
0.082 0.918 0.898
0.296 0.704 0.250
0.326 0.674 0.598
0.326 0.674 0.902
0.674 0.326 0.098
0.674 0.326 0.402
0.704 0.296 0.750
0.918 0.082 0.102
0.918 0.082 0.398
```

Properties
Crystal system   orthorhombic
Raw formation energy   -662.9 meV per atom
M_tot   4.86 μB/f.u.
Volume   33.8 Å³/atom
Space group   Cmcm

=====

6.
First-principles (PBE) data for a geometry-optimized LaAlCd2Pt structure, as listed in the Alexandria database.

POSCAR file:
```
LaAlCd2Pt
1.0
5.902 0.000 0.000
0.000 5.902 0.000
0.000 0.000 5.825
La Al Cd Pt
1 1 2 1
direct
0.000 0.000 0.000
0.000 0.000 0.500
0.000 0.500 0.000
0.500 0.000 0.000
0.500 0.500 0.500
```

Properties
Crystal system   tetragonal
Formation energy   1.4446 eV per atom
M_tot   0.25 μB/f.u.
Volume   40.6 Å³/atom
Space group   P4/mmm

=====

7.
First-principles (PBE) data for a geometry-optimized NdMg5Au2 structure, as listed in the Alexandria database.

POSCAR file:
```
NdMg5Au2
1.0
-2.150 4.148 5.139
2.150 -4.148 5.139
2.150 4.148 -5.139
Nd Mg Au
1 5 2
direct
0.000 0.000 0.000
0.157 0.343 0.814
0.470 0.657 0.814
0.500 0.000 0.500
0.530 0.343 0.186
0.843 0.657 0.186
0.233 0.733 0.500
0.767 0.267 0.500
```

Properties
Crystal system   orthorhombic
Formation energy   -0.4418 eV per atom
M_tot   0.00 μB/f.u.
Volume   22.9 Å³/atom
Space group   Immm

=====

8.
First-principles (PBE) data for a geometry-optimized Ti6Ga2Ir structure, as listed in the Alexandria database.

POSCAR file:
```
Ti6Ga2Ir
1.0
-2.143 3.055 6.441
2.143 -3.055 6.441
2.143 3.055 -6.441
Ti Ga Ir
6 2 1
direct
0.083 0.338 0.745
0.244 0.000 0.244
0.408 0.662 0.745
0.592 0.338 0.255
0.756 0.000 0.756
0.917 0.662 0.255
0.332 0.832 0.500
0.668 0.168 0.500
0.000 0.500 0.500
```

Properties
Crystal system   orthorhombic
Formation energy   -0.1295 eV per atom
M_tot   0.00 μB/f.u.
Volume   18.7 Å³/atom
Space group   Immm

=====

9.
First-principles (PBE) data for a geometry-optimized RbAgHgCl6 structure, as listed in the Alexandria database.

POSCAR file:
```
RbAgHgCl6
1.0
6.863 0.000 0.000
-3.431 5.944 0.000
0.000 0.000 7.228
Rb Ag Hg Cl
1 1 1 6
direct
0.000 0.000 0.000
0.667 0.333 0.500
0.333 0.667 0.500
0.386 0.019 0.706
0.386 0.367 0.294
0.633 0.019 0.294
0.633 0.614 0.706
0.981 0.367 0.706
0.981 0.614 0.294
```

Properties
Crystal system   trigonal
Raw formation energy   -687.1 meV per atom
M_tot   1.99 μB/f.u.
Volume   32.8 Å³/atom
Space group   P312

=====

10.
First-principles (PBE) data for a geometry-optimized Si2AgGeBr structure, as listed in the Alexandria database.

POSCAR file:
```
Si2AgGeBr
1.0
4.935 0.000 0.000
0.000 4.935 0.000
0.000 0.000 5.059
Si Ag Ge Br
2 1 1 1
direct
0.000 0.500 0.000
0.500 0.000 0.000
0.000 0.000 0.500
0.000 0.000 0.000
0.500 0.500 0.500
```

Properties
Crystal system   tetragonal
Raw formation energy   718.1 meV per atom
M_tot   0.00 μB/f.u.
Volume   24.6 Å³/atom
Space group   P4/mmm

=====

11.
First-principles (PBE) data for a geometry-optimized CaCdIr2N structure, as listed in the Alexandria database.

POSCAR file:
```
CaCdIr2N
1.0
5.087 0.000 0.000
0.000 5.087 0.000
0.000 0.000 4.089
Ca Cd Ir N
1 1 2 1
direct
0.000 0.000 0.000
0.500 0.500 0.500
0.000 0.500 0.500
0.500 0.000 0.500
0.500 0.500 0.000
```

Properties
Crystal system   tetragonal
Raw formation energy   1629.7 meV per atom
M_tot   1.97 μB/f.u.
Volume   21.2 Å³/atom
Space group   P4/mmm

=====

12.
First-principles (PBE) data for a geometry-optimized La2Mg17 structure, as listed in the Alexandria database.

POSCAR file:
```
La2Mg17
1.0
5.174 2.987 5.096
-5.174 2.987 5.096
0.000 -5.974 5.096
La Mg
2 17
direct
0.168 0.168 0.168
0.832 0.832 0.832
0.000 0.500 0.500
0.149 0.149 0.659
0.149 0.659 0.149
0.201 0.500 0.799
0.201 0.799 0.500
0.341 0.851 0.851
0.401 0.401 0.401
0.500 0.000 0.500
0.500 0.201 0.799
0.500 0.500 0.000
0.500 0.799 0.201
0.599 0.599 0.599
0.659 0.149 0.149
0.799 0.201 0.500
0.799 0.500 0.201
0.851 0.341 0.851
0.851 0.851 0.341
```

Properties
Crystal system   trigonal
Formation energy   -0.0794 eV per atom
M_tot   0.00 μB/f.u.
Volume   24.9 Å³/atom
Space group   R-3m

=====

Number 1: ρ 6.458 g/cm3, uncorrected energy -3.19 eV per atom. Number 2: ρ 9.816 g/cm3, uncorrected energy -6.24 eV per atom. Number 3: ρ 7.078 g/cm3, uncorrected energy -5.31 eV per atom. Number 4: ρ 3.633 g/cm3, uncorrected energy -3.02 eV per atom. Number 5: ρ 4.207 g/cm3, uncorrected energy -3.54 eV per atom. Number 6: ρ 4.794 g/cm3, uncorrected energy -1.86 eV per atom. Number 7: ρ 5.976 g/cm3, uncorrected energy -2.85 eV per atom. Number 8: ρ 6.094 g/cm3, uncorrected energy -7.05 eV per atom. Number 9: ρ 3.417 g/cm3, uncorrected energy -2.38 eV per atom. Number 10: ρ 4.267 g/cm3, uncorrected energy -3.28 eV per atom. Number 11: ρ 8.647 g/cm3, uncorrected energy -4.16 eV per atom. Number 12: ρ 2.428 g/cm3, uncorrected energy -2.02 eV per atom.